[1]
Material: NaBOsW
Method: DFT, PBE-GGA
State: optimized geometry

```
data_NaBOsW
_cell_length_a 6.024
_cell_length_b 6.024
_cell_length_c 6.024
_cell_angle_alpha 90.00
_cell_angle_beta 90.00
_cell_angle_gamma 90.00
_space_group_name_H-M_alt 'F -4 3 m'
_space_group_IT_number 216
_space_group_name_Hall 'F -4 2 3'
loop_
_atom_site_label
_atom_site_fract_x
_atom_site_fract_y
_atom_site_fract_z
Na1 0.000 0.000 0.000
B1 0.250 0.250 0.250
Os1 0.250 0.250 0.750
W1 0.000 0.000 0.500
```

Values from the calculation:
- Energy above the most stable polymorph in this dataset: 121 meV per atom
- DFT total energy: -7.05 eV/atom



[2]
Material: NaPaB
Method: DFT, PBE-GGA
State: optimized geometry

```
data_NaPaB
_cell_length_a 6.337
_cell_length_b 6.337
_cell_length_c 6.337
_cell_angle_alpha 90.00
_cell_angle_beta 90.00
_cell_angle_gamma 90.00
_space_group_name_H-M_alt 'F -4 3 m'
_space_group_IT_number 216
_space_group_name_Hall 'F -4 2 3'
loop_
_atom_site_label
_atom_site_fract_x
_atom_site_fract_y
_atom_site_fract_z
Na1 0.000 0.000 0.000
Pa1 0.250 0.250 0.750
B1 0.000 0.000 0.500
```

Values from the calculation:
- Energy above the most stable polymorph in this dataset: 809 meV per atom
- DFT total energy: -4.34 eV/atom



[3]
Material: NaPaB
Method: DFT, PBE-GGA
State: optimized geometry

```
data_NaPaB
_cell_length_a 6.147
_cell_length_b 6.147
_cell_length_c 6.147
_cell_angle_alpha 90.00
_cell_angle_beta 90.00
_cell_angle_gamma 90.00
_space_group_name_H-M_alt 'F -4 3 m'
_space_group_IT_number 216
_space_group_name_Hall 'F -4 2 3'
loop_
_atom_site_label
_atom_site_fract_x
_atom_site_fract_y
_atom_site_fract_z
Na1 0.000 0.000 0.000
Pa1 0.000 0.000 0.500
B1 0.250 0.250 0.250
```

Values from the calculation:
- Energy above the most stable polymorph in this dataset: 0 meV per atom
- DFT total energy: -5.15 eV/atom



Which value of energy above the most stable polymorph in this dataset does entry 1 give? 121 meV per atom



What is the energy above the most stable polymorph in this dataset in the first record? 121 meV per atom



Which value of DFT total energy does entry 3 give? -5.15 eV/atom